Record 1
Here is crystalline Tm2Cu4Ni3 at its relaxed geometry from the Open Quantum Materials Database. Energies are from PBE-GGA.

Values from the calculation:
E_form ... -343.7 meV/atom
Crystal system ... orthorhombic

a b c (Å): 4.8366 8.5384 12.4705
angles (deg): 90.00 90.00 90.00
Last column: nearest neighbours and their distance in Å.
Space group Fmmm (No. 69)
Unique sites:
Tm1 0.0000 0.0000 0.1298 [8 per cell]  8 Cu 2.85-2.89, 6 Ni 2.91-2.94
Cu1 0.0000 0.1674 0.3311 [16 per cell]  1 Cu 2.47, 3 Ni 2.53-2.55
Ni1 0.0000 0.0000 0.5000 [4 per cell]  4 Ni 2.45, 4 Cu 2.55
Ni2 0.2500 0.2500 0.0000 [8 per cell]  4 Ni 2.42-2.45, 4 Cu 2.53

Record 2
Here is crystalline Cu5Ag4 at its relaxed geometry from the Open Quantum Materials Database. Energies are from PBE-GGA.

Values from the calculation:
E_form ... 96.9 meV/atom
Crystal system ... monoclinic
E above lowest polymorph ... 0.056 eV/atom

a b c (Å): 14.0639 2.7782 6.7041
angles (deg): 90.00 91.59 90.00
Last column: nearest neighbours and their distance in Å.
Space group C2/m (No. 12)
Unique sites:
Cu1 0.0000 0.0000 0.0000 [2 per cell]  8 Ag 2.69-2.73, 4 Cu 2.78-2.86
Cu2 0.1179 0.0000 0.6597 [4 per cell]  6 Cu 2.58-2.86, 6 Ag 2.70-2.81
Cu3 0.2279 0.0000 0.3467 [4 per cell]  7 Cu 2.54-2.78, 3 Ag 2.78-2.79
Ag1 0.0557 0.5000 0.3329 [4 per cell]  8 Cu 2.72-2.81, 4 Ag 2.77-2.78
Ag2 0.1635 0.5000 0.9940 [4 per cell]  7 Cu 2.69-2.87, 5 Ag 2.77-2.80

Record 3
Here is crystalline PaZnFe at its relaxed geometry from the Open Quantum Materials Database. Energies are from PBE-GGA.

Values from the calculation:
E_form ... 81.4 meV/atom
Crystal system ... cubic

a b c (Å): 6.1009 6.1009 6.1009
angles (deg): 90.00 90.00 90.00
Last column: nearest neighbours and their distance in Å.
Space group F-43m (No. 216)
Unique sites:
Pa1 0.0000 0.0000 0.0000 [4 per cell]  4 Fe 2.64
Zn1 0.0000 0.0000 0.5000 [4 per cell]  4 Fe 2.64
Fe1 0.2500 0.2500 0.7500 [4 per cell]  4 Pa 2.64, 4 Zn 2.64

Record 4
Here is crystalline HfFeNiSb at its relaxed geometry from the Open Quantum Materials Database. Energies are from PBE-GGA.

Values from the calculation:
Crystal system ... cubic
E above lowest polymorph ... 0.285 eV/atom

a b c (Å): 6.3975 6.3975 6.3975
angles (deg): 90.00 90.00 90.00
Last column: nearest neighbours and their distance in Å.
Space group F-43m (No. 216)
Unique sites:
Hf1 0.0000 0.0000 0.0000 [4 per cell]  4 Sb 2.77, 4 Ni 2.77
Fe1 0.0000 0.0000 0.5000 [4 per cell]  4 Ni 2.77, 4 Sb 2.77
Ni1 0.2500 0.2500 0.7500 [4 per cell]  4 Hf 2.77, 4 Fe 2.77
Sb1 0.2500 0.2500 0.2500 [4 per cell]  4 Hf 2.77, 4 Fe 2.77

Record 5
Here is crystalline TmAlIr at its relaxed geometry from the Open Quantum Materials Database. Energies are from PBE-GGA.

Values from the calculation:
Crystal system ... cubic

a b c (Å): 6.2580 6.2580 6.2580
angles (deg): 90.00 90.00 90.00
Last column: nearest neighbours and their distance in Å.
Space group F-43m (No. 216)
Unique sites:
Tm1 0.0000 0.0000 0.0000 [4 per cell]  4 Al 2.71
Al1 0.2500 0.2500 0.7500 [4 per cell]  4 Tm 2.71, 4 Ir 2.71
Ir1 0.0000 0.0000 0.5000 [4 per cell]  4 Al 2.71

Record 6
Here is crystalline CsMgPa at its relaxed geometry from the Open Quantum Materials Database. Energies are from PBE-GGA.

Values from the calculation:
Crystal system ... cubic
E above lowest polymorph ... 0.220 eV/atom

a b c (Å): 7.3340 7.3340 7.3340
angles (deg): 90.00 90.00 90.00
Last column: nearest neighbours and their distance in Å.
Space group F-43m (No. 216)
Unique sites:
Cs1 0.0000 0.0000 0.0000 [4 per cell]  4 Pa 3.18, 4 Mg 3.18
Mg1 0.2500 0.2500 0.7500 [4 per cell]  4 Cs 3.18
Pa1 0.2500 0.2500 0.2500 [4 per cell]  4 Cs 3.18

Number 1: raw total energy -4.85 eV/atom. Number 2: raw total energy -3.22 eV/atom. Number 3: raw total energy -6.27 eV/atom. Number 4: raw total energy -6.96 eV/atom. Number 5: raw total energy -5.94 eV/atom. Number 6: raw total energy -2.16 eV/atom.